A relaxed HfZn2Sn2 crystal. Source: Alexandria, functional GGA-PBE.

Crystal system   tetragonal
Polymorph energy (0 for the lowest one)   30.14 kJ per mole of atoms
Uncorrected energy   -3.761 eV/atom
Density   8.308 Mg/m³
Formation energy from the elements   32.8 kJ per mole of atoms

Cell and atoms, written as CIF:
```
data_HfZn2Sn2
_chemical_formula_sum 'Hf2 Zn4 Sn4'
_cell_length_a 4.3220
_cell_length_b 4.3220
_cell_length_c 11.7006
_cell_angle_alpha 90.00
_cell_angle_beta 90.00
_cell_angle_gamma 90.00
_symmetry_space_group_name_H-M 'I 4/m m m'
_symmetry_Int_Tables_number 139
_symmetry_space_group_name_Hall '-I 4 2'
loop_
_atom_site_label
_atom_site_fract_x
_atom_site_fract_y
_atom_site_fract_z
_atom_site_occupancy
Hf1 0.0000 0.0000 0.0000 1
Zn1 0.0000 0.0000 0.4025 1
Sn1 0.0000 0.5000 0.2500 1
```

---

A relaxed KGa2CuI8 crystal. Source: Alexandria, functional GGA-PBE.

Crystal system   trigonal
Uncorrected energy   -2.531 eV/atom
Formation energy (no corrections)   -561 meV/atom
Density   4.250 Mg/m³

Cell and atoms, written as CIF:
```
data_KGa2CuI8
_chemical_formula_sum 'K1 Ga2 Cu1 I8'
_cell_length_a 7.4085
_cell_length_b 7.4085
_cell_length_c 10.3350
_cell_angle_alpha 90.00
_cell_angle_beta 90.00
_cell_angle_gamma 120.00
_symmetry_space_group_name_H-M 'P -3'
_symmetry_Int_Tables_number 147
loop_
_symmetry_equiv_pos_as_xyz
'x,y,z'
'-x,-y,-z'
'-y,x-y,z'
'y,-x+y,-z'
'-x+y,-x,z'
'x-y,x,-z'
loop_
_atom_site_label
_atom_site_fract_x
_atom_site_fract_y
_atom_site_fract_z
_atom_site_occupancy
K1 0.0000 0.0000 0.0000 1
Ga1 0.3333 0.6667 0.7440 1
Cu1 0.0000 0.0000 0.5000 1
I1 0.0122 0.3156 0.6685 1
I2 0.3333 0.6667 0.9943 1
```

---

A relaxed KGa4Sn crystal. Source: Alexandria, functional GGA-PBE.

Crystal system   orthorhombic
Polymorph energy (0 for the lowest one)   0.00 kJ per mole of atoms
Uncorrected energy   -2.949 eV/atom
Density   4.654 Mg/m³
Formation energy from the elements   -7.8 kJ per mole of atoms

Cell and atoms, written as CIF:
```
data_KGa4Sn
_chemical_formula_sum 'K4 Ga16 Sn4'
_cell_length_a 8.3888
_cell_length_b 16.5606
_cell_length_c 4.4863
_cell_angle_alpha 90.00
_cell_angle_beta 90.00
_cell_angle_gamma 90.00
_symmetry_space_group_name_H-M 'P b a m'
_symmetry_Int_Tables_number 55
loop_
_symmetry_equiv_pos_as_xyz
'x,y,z'
'-x,-y,-z'
'-x,-y,z'
'x,y,-z'
'x+1/2,-y+1/2,-z'
'-x+1/2,y+1/2,z'
'-x+1/2,y+1/2,-z'
'x+1/2,-y+1/2,z'
loop_
_atom_site_label
_atom_site_fract_x
_atom_site_fract_y
_atom_site_fract_z
_atom_site_occupancy
K1 0.1343 0.1514 0.0000 1
Ga1 0.0098 0.6950 0.5000 1
Ga2 0.1134 0.5509 0.5000 1
Ga3 0.1350 0.9645 0.5000 1
Ga4 0.2045 0.8123 0.5000 1
Sn1 0.1428 0.4089 0.0000 1
```

---

A relaxed InAs2H crystal. Source: Alexandria, functional GGA-PBE.

Crystal system   cubic
Polymorph energy (0 for the lowest one)   63.44 kJ per mole of atoms
Uncorrected energy   -3.173 eV/atom
Density   6.152 Mg/m³

Cell and atoms, written as CIF:
```
data_InAs2H
_chemical_formula_sum 'In4 As8 H4'
_cell_length_a 6.5949
_cell_length_b 6.5949
_cell_length_c 6.5949
_cell_angle_alpha 90.00
_cell_angle_beta 90.00
_cell_angle_gamma 90.00
_symmetry_space_group_name_H-M 'F m -3 m'
_symmetry_Int_Tables_number 225
_symmetry_space_group_name_Hall '-F 4 2 3'
loop_
_atom_site_label
_atom_site_fract_x
_atom_site_fract_y
_atom_site_fract_z
_atom_site_occupancy
In1 0.0000 0.0000 0.0000 1
As1 0.2500 0.2500 0.2500 1
H1 0.0000 0.0000 0.5000 1
```

---

A relaxed La3PrCd crystal. Source: Alexandria, functional GGA-PBE.

Crystal system   triclinic
Polymorph energy (0 for the lowest one)   0.00 kJ per mole of atoms
Uncorrected energy   -4.229 eV/atom
Density   6.506 Mg/m³
Formation energy from the elements   -12.9 kJ per mole of atoms

Cell and atoms, written as CIF:
```
data_La3PrCd
_chemical_formula_sum 'La6 Pr2 Cd2'
_cell_length_a 3.8221
_cell_length_b 9.1155
_cell_length_c 10.2634
_cell_angle_alpha 77.01
_cell_angle_beta 79.29
_cell_angle_gamma 89.99
_symmetry_space_group_name_H-M 'P -1'
_symmetry_Int_Tables_number 2
loop_
_symmetry_equiv_pos_as_xyz
'x,y,z'
'-x,-y,-z'
loop_
_atom_site_label
_atom_site_fract_x
_atom_site_fract_y
_atom_site_fract_z
_atom_site_occupancy
La1 0.0030 0.2868 0.4916 1
La2 0.1891 0.3737 0.1231 1
La3 0.2042 0.8359 0.0924 1
Pr1 0.4048 0.9648 0.6884 1
Cd1 0.3945 0.4262 0.7103 1
```

---

A relaxed HfTi4H8 crystal. Source: Alexandria, functional GGA-PBE.

Crystal system   cubic
Uncorrected energy   -5.206 eV/atom
Density   5.336 Mg/m³

Cell and atoms, written as CIF:
```
data_HfTi4H8
_chemical_formula_sum 'Hf1 Ti4 H8'
_cell_length_a 4.8999
_cell_length_b 4.8999
_cell_length_c 4.8999
_cell_angle_alpha 90.00
_cell_angle_beta 90.00
_cell_angle_gamma 90.00
_symmetry_space_group_name_H-M 'P m -3 m'
_symmetry_Int_Tables_number 221
_symmetry_space_group_name_Hall '-P 4 2 3'
loop_
_atom_site_label
_atom_site_fract_x
_atom_site_fract_y
_atom_site_fract_z
_atom_site_occupancy
Hf1 0.0000 0.0000 0.0000 1
Ti1 0.0000 0.0000 0.5000 1
Ti2 0.5000 0.5000 0.5000 1
H1 0.2540 0.2540 0.2540 1
```

---

A relaxed CdHgF2 crystal. Source: Alexandria, functional GGA-PBE.

Crystal system   tetragonal
Polymorph energy (0 for the lowest one)   9.79 kJ per mole of atoms
Uncorrected energy   -2.714 eV/atom
Formation energy (no corrections)   -1475 meV/atom
Density   5.388 Mg/m³

Cell and atoms, written as CIF:
```
data_CdHgF2
_chemical_formula_sum 'Cd4 Hg4 F8'
_cell_length_a 6.3529
_cell_length_b 6.3529
_cell_length_c 10.7205
_cell_angle_alpha 90.00
_cell_angle_beta 90.00
_cell_angle_gamma 90.00
_symmetry_space_group_name_H-M 'I -4 2 d'
_symmetry_Int_Tables_number 122
_symmetry_space_group_name_Hall 'I -4 2bw'
loop_
_atom_site_label
_atom_site_fract_x
_atom_site_fract_y
_atom_site_fract_z
_atom_site_occupancy
Cd1 0.0000 0.0000 0.0000 1
Hg1 0.0000 0.0000 0.5000 1
F1 0.0854 0.2500 0.1250 1
```

---

A relaxed Pm2PuPN5 crystal. Source: Alexandria, functional GGA-PBE.

Crystal system   orthorhombic
Uncorrected energy   -8.850 eV/atom
Formation energy (no corrections)   -975 meV/atom
Density   8.398 Mg/m³

Cell and atoms, written as CIF:
```
data_Pm2PuPN5
_chemical_formula_sum 'Pm8 Pu4 P4 N20'
_cell_length_a 3.3597
_cell_length_b 14.1127
_cell_length_c 10.5930
_cell_angle_alpha 90.00
_cell_angle_beta 90.00
_cell_angle_gamma 90.00
_symmetry_space_group_name_H-M 'C m c 21'
_symmetry_Int_Tables_number 36
loop_
_symmetry_equiv_pos_as_xyz
'x,y,z'
'-x,-y,z+1/2'
'-x,y,z'
'x,-y,z+1/2'
'x+1/2,y+1/2,z'
'-x+1/2,-y+1/2,z+1/2'
'-x+1/2,y+1/2,z'
'x+1/2,-y+1/2,z+1/2'
loop_
_atom_site_label
_atom_site_fract_x
_atom_site_fract_y
_atom_site_fract_z
_atom_site_occupancy
Pm1 0.0000 0.1105 0.0000 1
Pm2 0.0000 0.1386 0.6638 1
Pu1 0.0000 0.1915 0.3650 1
P1 0.0000 0.4543 0.7377 1
N1 0.0000 0.0226 0.3174 1
N2 0.0000 0.2896 0.0023 1
N3 0.0000 0.3390 0.3407 1
N4 0.0000 0.3386 0.7077 1
N5 0.0000 0.4877 0.1065 1
```

---

A relaxed EuErAgSb crystal. Source: Alexandria, functional GGA-PBE.

Crystal system   cubic
Uncorrected energy   -6.020 eV/atom
Formation energy (no corrections)   -567 meV/atom
Density   8.619 Mg/m³

Cell and atoms, written as CIF:
```
data_EuErAgSb
_chemical_formula_sum 'Eu4 Er4 Ag4 Sb4'
_cell_length_a 7.5064
_cell_length_b 7.5064
_cell_length_c 7.5064
_cell_angle_alpha 90.00
_cell_angle_beta 90.00
_cell_angle_gamma 90.00
_symmetry_space_group_name_H-M 'F -4 3 m'
_symmetry_Int_Tables_number 216
_symmetry_space_group_name_Hall 'F -4 2 3'
loop_
_atom_site_label
_atom_site_fract_x
_atom_site_fract_y
_atom_site_fract_z
_atom_site_occupancy
Eu1 0.0000 0.0000 0.0000 1
Er1 0.0000 0.0000 0.5000 1
Ag1 0.2500 0.2500 0.2500 1
Sb1 0.2500 0.2500 0.7500 1
```

---

A relaxed KRuPt2 crystal. Source: Alexandria, functional GGA-PBE.

Crystal system   tetragonal
Polymorph energy (0 for the lowest one)   67.23 kJ per mole of atoms
Uncorrected energy   -4.767 eV/atom
Density   12.333 Mg/m³
Formation energy from the elements   81.7 kJ per mole of atoms

Cell and atoms, written as CIF:
```
data_KRuPt2
_chemical_formula_sum 'K2 Ru2 Pt4'
_cell_length_a 4.1708
_cell_length_b 4.1708
_cell_length_c 8.2095
_cell_angle_alpha 90.00
_cell_angle_beta 90.00
_cell_angle_gamma 90.00
_symmetry_space_group_name_H-M 'I -4 m 2'
_symmetry_Int_Tables_number 119
_symmetry_space_group_name_Hall 'I -4 -2'
loop_
_atom_site_label
_atom_site_fract_x
_atom_site_fract_y
_atom_site_fract_z
_atom_site_occupancy
K1 0.0000 0.0000 0.0000 1
Ru1 0.0000 0.5000 0.2500 1
Pt1 0.0000 0.0000 0.5000 1
Pt2 0.0000 0.5000 0.7500 1
```

---

A relaxed ZnInPd crystal. Source: Alexandria, functional GGA-PBE.

Crystal system   orthorhombic
Uncorrected energy   -3.415 eV/atom
Density   8.806 Mg/m³
Formation energy from the elements   -33.4 kJ per mole of atoms

Cell and atoms, written as CIF:
```
data_ZnInPd
_chemical_formula_sum 'Zn2 In2 Pd2'
_cell_length_a 3.5388
_cell_length_b 4.0091
_cell_length_c 7.6198
_cell_angle_alpha 90.00
_cell_angle_beta 90.00
_cell_angle_gamma 90.00
_symmetry_space_group_name_H-M 'P m m n'
_symmetry_Int_Tables_number 59
loop_
_symmetry_equiv_pos_as_xyz
'x,y,z'
'-x,-y,-z'
'-x+1/2,-y+1/2,z'
'x+1/2,y+1/2,-z'
'x+1/2,-y,-z'
'-x+1/2,y,z'
'-x,y+1/2,-z'
'x,-y+1/2,z'
loop_
_atom_site_label
_atom_site_fract_x
_atom_site_fract_y
_atom_site_fract_z
_atom_site_occupancy
Zn1 0.2500 0.2500 0.0148 1
In1 0.2500 0.7500 0.6326 1
Pd1 0.2500 0.7500 0.2482 1
```

---

A relaxed PrNd3Tl2 crystal. Source: Alexandria, functional GGA-PBE.

Crystal system   monoclinic
Polymorph energy (0 for the lowest one)   8.83 kJ per mole of atoms
Uncorrected energy   -4.151 eV/atom
Density   8.394 Mg/m³
Formation energy from the elements   -17.5 kJ per mole of atoms

Cell and atoms, written as CIF:
```
data_PrNd3Tl2
_chemical_formula_sum 'Pr4 Nd12 Tl8'
_cell_length_a 17.1108
_cell_length_b 5.4989
_cell_length_c 9.5529
_cell_angle_alpha 90.00
_cell_angle_beta 120.13
_cell_angle_gamma 90.00
_symmetry_space_group_name_H-M 'C 1 2/m 1'
_symmetry_Int_Tables_number 12
loop_
_symmetry_equiv_pos_as_xyz
'x,y,z'
'-x,-y,-z'
'-x,y,-z'
'x,-y,z'
'x+1/2,y+1/2,z'
'-x+1/2,-y+1/2,-z'
'-x+1/2,y+1/2,-z'
'x+1/2,-y+1/2,z'
loop_
_atom_site_label
_atom_site_fract_x
_atom_site_fract_y
_atom_site_fract_z
_atom_site_occupancy
Pr1 0.1282 0.0000 0.1742 1
Nd1 0.0588 0.0000 0.7142 1
Nd2 0.1191 0.5000 0.5466 1
Nd3 0.1957 0.5000 0.0007 1
Tl1 0.0169 0.5000 0.1694 1
Tl2 0.2272 0.0000 0.5923 1
```